Record 1
! PBE KY2Mo, relaxed; values from VASP
! - Symmetry: No. 119
! - Energy of formation from the pure elements: 1.028 eV/atom
! - Calculated volume: 112 Å³ per cell
! - DOS(E_F): 1.07 states/eV per atom
&SYSTEM
  ibrav = 0, nat = 4, ntyp = 3
/
ATOMIC_SPECIES
K 39.10 K.upf
Y 88.91 Y.upf
Mo 95.94 Mo.upf
CELL_PARAMETERS angstrom
-2.345 2.345 5.075
2.345 -2.345 5.075
2.345 2.345 -5.075
ATOMIC_POSITIONS crystal
K 0.000 0.000 0.000
Y 0.500 0.500 0.000
Y 0.750 0.250 0.500
Mo 0.250 0.750 0.500

=====

Record 2
! PBE KYMo4, relaxed; values from VASP
! - Symmetry: No. 216
! - Energy of formation from the pure elements: 0.840 eV/atom
! - Calculated volume: 122 Å³ per cell
! - DOS(E_F): 1.61 states/eV per atom
&SYSTEM
  ibrav = 0, nat = 6, ntyp = 3
/
ATOMIC_SPECIES
K 39.10 K.upf
Y 88.91 Y.upf
Mo 95.94 Mo.upf
CELL_PARAMETERS angstrom
0.000 3.940 3.940
3.940 0.000 3.940
3.940 3.940 0.000
ATOMIC_POSITIONS crystal
K 0.000 0.000 0.000
Y 0.250 0.250 0.250
Mo 0.124 0.625 0.625
Mo 0.625 0.124 0.625
Mo 0.625 0.625 0.124
Mo 0.625 0.625 0.625